The following is a DFT calculation (PBE) of an optimized crystal structure of Sb2Se3Br.

## Properties
The uncorrected energy comes out at -3.61 eV/atom. For the total moment, the calculation gives 0.00 Bohr magnetons per cell. The value obtained for the uncorrected formation energy is -211 meV per atom.

Cell: 8.251 8.251 8.251 Å, 57.76 57.76 57.76°
Element x y z (fractional)
1 Sb 0.000 0.000 0.000
2 Sb 0.000 0.500 0.500
3 Sb 0.500 0.000 0.500
4 Sb 0.500 0.500 0.000
5 Se 0.242 0.242 0.756
6 Se 0.242 0.756 0.242
7 Se 0.244 0.758 0.758
8 Se 0.756 0.242 0.242
9 Se 0.758 0.244 0.758
10 Se 0.758 0.758 0.244
11 Br 0.245 0.245 0.245
12 Br 0.755 0.755 0.755